i.
Computed, not measured: a relaxed structure of AlPSe2 at the PBE level of DFT.

Its total magnetization is 0.00 μB/cell. The value obtained for the mass density is 4.943 g cm⁻³.

Cell: 4.6809 4.6809 4.6809 Å, 60.00 60.00 60.00°
Last column: nearest neighbours and their distance in Å.
Atoms (fractional coordinates):
P 0.7500 0.7500 0.7500  4 Al 2.87, 4 Se 2.87
Al 0.5000 0.5000 0.5000  4 P 2.87, 4 Se 2.87
Se 0.0000 0.0000 0.0000  4 Se 2.87, 4 P 2.87
Se 0.2500 0.2500 0.2500  4 Al 2.87, 4 Se 2.87

---

ii.
Computed, not measured: a relaxed structure of AlPSe2 at the PBE level of DFT.

Its total magnetization is 0.00 μB/cell. The value obtained for the mass density is 4.600 g cm⁻³.

Cell: 4.6638 4.6638 4.6631 Å, 69.17 69.17 106.81°
Last column: nearest neighbours and their distance in Å.
Atoms (fractional coordinates):
P 0.0000 0.5000 0.5000  4 Se 2.65, 2 Al 2.78
Al 0.5000 0.0000 0.5000  4 Se 2.65, 2 P 2.78
Se 0.0000 0.0000 0.0000  2 Al 2.65, 2 P 2.65, 2 Se 2.78
Se 0.5000 0.5000 0.0000  2 P 2.65, 2 Al 2.65, 2 Se 2.78

---

iii.
Computed, not measured: a relaxed structure of AlPSe2 at the PBE level of DFT.

Its total magnetization is 0.00 μB/cell. The value obtained for the mass density is 4.898 g cm⁻³.

Cell: 3.2624 4.6823 4.7908 Å, 90.00 90.00 90.00°
Last column: nearest neighbours and their distance in Å.
Atoms (fractional coordinates):
P 0.0000 0.5000 0.5000  4 Al 2.85, 4 Se 2.90
Al 0.5000 0.0000 0.5000  4 P 2.85, 4 Se 2.90
Se 0.0000 0.0000 0.0000  4 Se 2.85, 4 Al 2.90
Se 0.5000 0.5000 0.0000  4 Se 2.85, 4 P 2.90

---

iv.
Computed, not measured: a relaxed structure of AlPSe2 at the PBE level of DFT.

Its total magnetization is 0.00 μB/cell. The value obtained for the mass density is 4.348 g cm⁻³.

Cell: 2.8180 2.8180 10.6445 Å, 90.00 90.00 102.78°
Last column: nearest neighbours and their distance in Å.
Atoms (fractional coordinates):
P 0.5000 0.5000 0.6802  2 Al 2.48
Al 0.0000 0.0000 0.5162  2 P 2.48, 2 Se 2.76
Se 0.0000 0.0000 0.9871  4 Se 2.82
Se 0.5000 0.5000 0.3165  4 Al 2.76-3.06, 4 Se 2.82

---

So which one wins? Going from most stable to least: ii, iv, iii, i.